[1]
First-principles (GGA-PBE) data for a geometry-optimized FeIr2Rh structure, as listed in the Alexandria database.

Computed properties:
Its space-group type is R3m.

a b c (Å): 8.7963 8.7963 8.7963
angles (deg): 17.84 17.84 17.84
Last column: nearest neighbours and their distance in Å.
Positions (direct):
Fe  0.0000  0.0000  0.0000  3 Rh 2.62, 3 Ir 2.63, 6 Fe 2.73
Ir  0.5001  0.5001  0.5001  9 Ir 2.73, 3 Rh 2.73
Ir  0.7476  0.7476  0.7476  3 Fe 2.63, 9 Ir 2.73
Rh  0.2528  0.2528  0.2528  3 Fe 2.62, 6 Rh 2.73, 3 Ir 2.73

[2]
First-principles (GGA-PBE) data for a geometry-optimized Fe3Ir3Rh4 structure, as listed in the Alexandria database.

Computed properties:
Its space-group type is Amm2.

a b c (Å): 2.7901 7.1604 7.1604
angles (deg): 86.73 90.00 90.00
Last column: nearest neighbours and their distance in Å.
Positions (direct):
Fe  0.0000  0.0000  0.0000  6 Rh 2.41-2.52
Fe  0.0000  0.5219  0.8534  6 Rh 2.43-2.56
Fe  0.0000  0.8534  0.5219  6 Rh 2.43-2.56
Ir  0.0000  0.3409  0.3409  6 Rh 2.61-2.71, 6 Ir 2.79-2.81
Ir  0.5000  0.1701  0.6448  4 Rh 2.77-2.89, 4 Ir 2.79-2.81, 4 Fe 2.84-3.09
Ir  0.5000  0.6448  0.1701  4 Rh 2.77-2.89, 4 Ir 2.79-2.81, 4 Fe 2.84-3.09
Rh  0.5000  0.0230  0.2909  4 Fe 2.43-2.52, 1 Rh 2.63, 2 Ir 2.71
Rh  0.5000  0.2909  0.0230  4 Fe 2.43-2.52, 1 Rh 2.63, 2 Ir 2.71
Rh  0.5000  0.5532  0.5532  4 Fe 2.56, 4 Ir 2.61-2.78, 3 Rh 2.69-2.79
Rh  0.5000  0.8118  0.8118  6 Fe 2.41-2.50, 1 Rh 2.69

[3]
First-principles (GGA-PBE) data for a geometry-optimized Fe7IrRh3 structure, as listed in the Alexandria database.

Computed properties:
Its space-group type is Cmcm.

a b c (Å): 9.7893 9.7893 11.8914
angles (deg): 90.00 90.00 164.51
Last column: nearest neighbours and their distance in Å.
Positions (direct):
Fe  0.0325  0.9675  0.5861  6 Fe 2.40-2.64, 2 Ir 2.59, 2 Rh 2.62
Fe  0.0325  0.9675  0.9139  6 Fe 2.40-2.64, 2 Ir 2.59, 2 Rh 2.62
Fe  0.0962  0.9038  0.0994  5 Fe 2.50-2.64, 4 Rh 2.60-2.64, 2 Ir 2.63
Fe  0.0962  0.9038  0.4006  5 Fe 2.50-2.64, 4 Rh 2.60-2.64, 2 Ir 2.63
Fe  0.1096  0.8904  0.7500  4 Fe 2.46-2.64, 4 Rh 2.64
Fe  0.2259  0.7741  0.0878  5 Rh 2.45-2.73, 5 Fe 2.52-2.64
Fe  0.2259  0.7741  0.4122  5 Rh 2.45-2.73, 5 Fe 2.52-2.64
Fe  0.7741  0.2259  0.5878  5 Rh 2.45-2.73, 5 Fe 2.52-2.64
Fe  0.7741  0.2259  0.9122  5 Rh 2.45-2.73, 5 Fe 2.52-2.64
Fe  0.8904  0.1096  0.2500  4 Fe 2.46-2.64, 4 Rh 2.64
Fe  0.9038  0.0962  0.5994  5 Fe 2.50-2.64, 4 Rh 2.60-2.64, 2 Ir 2.63
Fe  0.9038  0.0962  0.9006  5 Fe 2.50-2.64, 4 Rh 2.60-2.64, 2 Ir 2.63
Fe  0.9675  0.0325  0.0861  6 Fe 2.40-2.64, 2 Ir 2.59, 2 Rh 2.62
Fe  0.9675  0.0325  0.4139  6 Fe 2.40-2.64, 2 Ir 2.59, 2 Rh 2.62
Ir  0.4765  0.5235  0.7500  10 Fe 2.59-2.90, 2 Ir 2.64, 1 Rh 2.84
Ir  0.5235  0.4765  0.2500  10 Fe 2.59-2.90, 2 Ir 2.64, 1 Rh 2.84
Rh  0.3301  0.6699  0.7500  8 Fe 2.58-2.64, 2 Rh 2.64, 1 Ir 2.84
Rh  0.3516  0.6484  0.0684  9 Fe 2.45-2.73, 2 Rh 2.64
Rh  0.3516  0.6484  0.4316  9 Fe 2.45-2.73, 2 Rh 2.64
Rh  0.6484  0.3516  0.5684  9 Fe 2.45-2.73, 2 Rh 2.64
Rh  0.6484  0.3516  0.9316  9 Fe 2.45-2.73, 2 Rh 2.64
Rh  0.6699  0.3301  0.2500  8 Fe 2.58-2.64, 2 Rh 2.64, 1 Ir 2.84

[4]
First-principles (GGA-PBE) data for a geometry-optimized FeIr2Rh structure, as listed in the Alexandria database.

Computed properties:
Its space-group type is R-3m.

a b c (Å): 8.8058 8.8058 8.8058
angles (deg): 17.77 17.77 17.77
Last column: nearest neighbours and their distance in Å.
Positions (direct):
Fe  0.0000  0.0000  0.0000  6 Ir 2.61, 6 Fe 2.72
Ir  0.2533  0.2533  0.2533  3 Fe 2.61, 6 Ir 2.72, 3 Rh 2.75
Ir  0.7467  0.7467  0.7467  3 Fe 2.61, 6 Ir 2.72, 3 Rh 2.75
Rh  0.5000  0.5000  0.5000  6 Rh 2.72, 6 Ir 2.75

[5]
First-principles (GGA-PBE) data for a geometry-optimized FeIrRh structure, as listed in the Alexandria database.

Computed properties:
Its space-group type is I4mm. The offset from the most stable computed form is 2.8 meV per atom.

a b c (Å): 5.8529 5.8529 5.8529
angles (deg): 153.26 153.26 38.17
Last column: nearest neighbours and their distance in Å.
Positions (direct):
Fe  0.0000  0.0000  0.0000  4 Ir 2.60, 4 Rh 2.63, 4 Fe 2.71
Ir  0.3406  0.3406  0.0000  4 Fe 2.60, 4 Ir 2.71, 4 Rh 2.74
Rh  0.6630  0.6630  0.0000  4 Fe 2.63, 4 Rh 2.71, 4 Ir 2.74

[6]
First-principles (GGA-PBE) data for a geometry-optimized FeIr2Rh structure, as listed in the Alexandria database.

Computed properties:
Its space-group type is Immm.

a b c (Å): 5.3085 5.3085 5.3085
angles (deg): 150.01 129.97 59.43
Last column: nearest neighbours and their distance in Å.
Positions (direct):
Fe  0.0000  0.0000  0.0000  4 Ir 2.50, 4 Rh 2.63, 2 Fe 2.75
Ir  0.2268  0.7268  0.5000  2 Fe 2.50, 6 Ir 2.67-2.75
Ir  0.7732  0.2732  0.5000  2 Fe 2.50, 6 Ir 2.67-2.75
Rh  0.5000  0.5000  0.0000  4 Fe 2.63, 2 Rh 2.75, 4 Ir 2.87

| no. | E_form (meV per atom) | energy (eV/atom) | magnetic moment (μB per atom) |
| --- | --- | --- | --- |
| 1 | 15.6 | -8.368 | 0.711 |
| 2 | 229.3 | -7.908 | 1.045 |
| 3 | 216.2 | -7.980 | 1.826 |
| 4 | -1.8 | -8.386 | 0.563 |
| 5 | -25.5 | -8.251 | 0.753 |
| 6 | 137.5 | -8.246 | 0.879 |